Here is an optimized crystal structure of FePBrO2 from Alexandria via LeMat-Bulk. Energies are from PBE+U.

a = 3.723 Å, b = 3.723 Å, c = 5.537 Å
α = 90.00°, β = 90.00°, γ = 90.00°
Last column: magnetic moment on the atom in μB.
Positions (direct):
O1 0.500 0.000 0.000  0.22
O2 0.000 0.500 0.000  0.22
Fe1 0.000 0.000 0.000  3.82
P1 0.000 0.000 0.500  -0.10
Br1 0.500 0.500 0.500  -0.03

Summary:
Distance to the lowest polymorph of the same formula (meV/atom): 0
Space-group type: P4/mmm (123)
DFT total energy (eV/atom): -4.5849